Entry 1:
First-principles (PBE) data for Co2Si3W2 after structural relaxation, as listed in the Open Quantum Materials Database.

Summary:
Its space group is R3m. The final energy comes out at -7.94 eV/atom. As for the crystal system: trigonal. The density comes out at 10073 kg/m3.

Cell: 6.9623 6.9623 6.9623 Å, 33.97 33.97 33.97°
Last column: nearest neighbours and their distance in Å.
Fractional coordinates of all 7 atoms:
Co1 0.0000 0.0000 0.0000  5 Si 2.40-2.54
Co2 0.4964 0.4964 0.4964  7 Si 2.37-2.53
Si1 0.1292 0.1292 0.1292  4 Co 2.44-2.54, 4 W 2.50-2.56
Si2 0.3759 0.3759 0.3759  4 W 2.35-2.45, 4 Co 2.37-2.49
Si3 0.8780 0.8780 0.8780  4 Co 2.40-2.53, 4 W 2.51-2.64
W1 0.2565 0.2565 0.2565  5 Si 2.35-2.51
W2 0.7439 0.7439 0.7439  7 Si 2.45-2.64

Entry 2:
First-principles (PBE) data for Cd2PbO4 after structural relaxation, as listed in the Open Quantum Materials Database.

Summary:
Its space group is Pbam. The final energy comes out at -4.60 eV/atom. As for the crystal system: orthorhombic. The density comes out at 8785 kg/m3.

Cell: 5.6944 9.9849 3.2979 Å, 90.00 90.00 90.00°
Last column: nearest neighbours and their distance in Å.
Fractional coordinates of all 14 atoms:
Cd1 0.0628 0.1774 0.0000  6 O 2.27-2.40
Cd2 0.4372 0.6774 0.0000  6 O 2.27-2.40
Cd3 0.5628 0.3226 0.0000  6 O 2.27-2.40
Cd4 0.9372 0.8226 0.0000  6 O 2.27-2.40
Pb1 0.0000 0.5000 0.5000  6 O 2.18-2.21
Pb2 0.5000 0.0000 0.5000  6 O 2.18-2.21
O1 0.1421 0.7024 0.5000  1 Pb 2.18, 4 Cd 2.35-2.37
O2 0.2493 0.4627 0.0000  2 Pb 2.21, 2 Cd 2.27-2.40
O3 0.2507 0.9627 0.0000  2 Pb 2.21, 2 Cd 2.27-2.40
O4 0.3579 0.2024 0.5000  1 Pb 2.18, 4 Cd 2.35-2.37
O5 0.6421 0.7976 0.5000  1 Pb 2.18, 4 Cd 2.35-2.37
O6 0.7493 0.0373 0.0000  2 Pb 2.21, 2 Cd 2.27-2.40
O7 0.7507 0.5373 0.0000  2 Pb 2.21, 2 Cd 2.27-2.40
O8 0.8579 0.2976 0.5000  1 Pb 2.18, 4 Cd 2.35-2.37

Entry 3:
First-principles (PBE) data for ZrCu after structural relaxation, as listed in the Open Quantum Materials Database.

Summary:
The calculation puts the energy relative to the elements at 165 meV per atom. Its space group is Pmmn. The final energy comes out at -5.97 eV/atom. As for the crystal system: orthorhombic. The density comes out at 7299 kg/m3.

Cell: 2.8022 4.8876 5.1416 Å, 90.00 90.00 90.00°
Last column: nearest neighbours and their distance in Å.
Fractional coordinates of all 4 atoms:
Zr1 0.2500 0.2500 0.1377  6 Cu 2.74-3.00, 2 Zr 2.80
Zr2 0.7500 0.7500 0.8623  6 Cu 2.74-3.00, 2 Zr 2.80
Cu1 0.2500 0.7500 0.3779  6 Zr 2.74-3.00, 2 Cu 2.80
Cu2 0.7500 0.2500 0.6221  6 Zr 2.74-3.00, 2 Cu 2.80

Entry 4:
First-principles (PBE) data for HfTeW after structural relaxation, as listed in the Open Quantum Materials Database.

Summary:
Its space group is F-43m. The final energy comes out at -8.11 eV/atom. As for the crystal system: cubic. The energy above the most stable polymorph in this dataset comes out at 0 meV/atom. The density comes out at 12012 kg/m3.

Cell: 4.5753 4.5753 4.5753 Å, 60.00 60.00 60.00°
Last column: nearest neighbours and their distance in Å.
Fractional coordinates of all 3 atoms:
Hf1 0.0000 0.0000 0.0000  4 W 2.80
Te1 0.5000 0.5000 0.5000  4 W 2.80
W1 0.2500 0.2500 0.2500  4 Hf 2.80, 4 Te 2.80

Entry 5:
First-principles (PBE) data for NdY2In3AgPd2 after structural relaxation, as listed in the Open Quantum Materials Database.

Summary:
Its space group is Amm2. The final energy comes out at -5.03 eV/atom. As for the crystal system: orthorhombic. The density comes out at 7969 kg/m3.

Cell: 3.8447 7.8604 7.8604 Å, 120.00 90.00 90.00°
Last column: nearest neighbours and their distance in Å.
Fractional coordinates of all 9 atoms:
Nd1 0.0000 0.0000 0.0000  4 Pd 3.08, 6 In 3.21-3.44, 1 Ag 3.23
Y1 0.0000 0.4094 0.8186  4 Pd 3.04-3.05, 4 In 3.18-3.40, 1 Ag 3.21
Y2 0.0000 0.8186 0.4094  4 Pd 3.04-3.05, 4 In 3.18-3.40, 1 Ag 3.21
In1 0.5000 0.1426 0.4124  2 Ag 2.86, 2 Pd 2.87-2.93, 2 Y 3.18
In2 0.5000 0.4124 0.1426  2 Ag 2.86, 2 Pd 2.87-2.93, 2 Y 3.18
In3 0.5000 0.6737 0.6737  2 Ag 2.82, 2 Pd 2.95
Ag1 0.0000 0.4113 0.4113  6 In 2.82-2.86
Pd1 0.5000 0.0776 0.7403  3 In 2.87-2.95, 4 Y 3.04-3.05, 2 Nd 3.08
Pd2 0.5000 0.7403 0.0776  3 In 2.87-2.95, 4 Y 3.04-3.05, 2 Nd 3.08

Entry 6:
First-principles (PBE) data for TbInHgTe3 after structural relaxation, as listed in the Open Quantum Materials Database.

Summary:
Its space group is Cmcm. The final energy comes out at -3.51 eV/atom. As for the crystal system: orthorhombic. The energy above the most stable polymorph in this dataset comes out at 20 meV/atom. The density comes out at 7348 kg/m3.

Cell: 7.9418 7.9418 11.5102 Å, 90.00 90.00 147.75°
Last column: nearest neighbours and their distance in Å.
Fractional coordinates of all 12 atoms:
Tb1 0.0000 0.0000 0.0000  6 Te 3.14-3.17
Tb2 0.0000 0.0000 0.5000  6 Te 3.14-3.17
In1 0.2396 0.7604 0.7500  6 Te 3.44-3.53, 2 Hg 3.81
In2 0.7604 0.2396 0.2500  6 Te 3.44-3.53, 2 Hg 3.81
Hg1 0.4643 0.5357 0.2500  4 Te 2.83-2.90
Hg2 0.5357 0.4643 0.7500  4 Te 2.83-2.90
Te1 0.0876 0.9124 0.2500  2 Hg 2.90, 2 Tb 3.17
Te2 0.3584 0.6416 0.0483  1 Hg 2.83, 2 Tb 3.14
Te3 0.3584 0.6416 0.4517  1 Hg 2.83, 2 Tb 3.14
Te4 0.6416 0.3584 0.5483  1 Hg 2.83, 2 Tb 3.14
Te5 0.6416 0.3584 0.9517  1 Hg 2.83, 2 Tb 3.14
Te6 0.9124 0.0876 0.7500  2 Hg 2.90, 2 Tb 3.17